(1)
First-principles (PBE) data for a relaxed Cd2CoPt9 crystal, as listed in the Alexandria database.

a b c (Å): 3.9834 3.9834 12.0217
angles (deg): 90.00 90.00 90.00
Positions (direct):
Cd 0.0000 0.0000 0.6713
Cd 0.0000 0.0000 0.3287
Pt 0.5000 0.5000 0.0000
Pt 0.5000 0.0000 0.5000
Pt 0.5000 0.5000 0.6718
Pt 0.0000 0.5000 0.1551
Pt 0.0000 0.5000 0.5000
Pt 0.5000 0.0000 0.1551
Pt 0.5000 0.0000 0.8449
Pt 0.5000 0.5000 0.3282
Pt 0.0000 0.5000 0.8449
Co 0.0000 0.0000 0.0000

DOS(E_F) in states/eV/atom: 1.198
Formation energy from the elements in kJ/mol of atoms: -14.2


(2)
First-principles (PBE) data for a relaxed ReTeRh2 crystal, as listed in the Alexandria database.

a b c (Å): 4.9334 4.9334 4.9334
angles (deg): 132.56 132.48 69.41
Positions (direct):
Re 0.5000 0.0000 0.5000
Te 0.0000 0.5000 0.5000
Rh 0.2497 0.2497 0.0000
Rh 0.7503 0.7503 0.0000

Formation energy (no corrections) in eV/atom: 0.3586
DOS(E_F) in states/eV/atom: 1.084


(3)
First-principles (PBE) data for a relaxed EuEr2Sn crystal, as listed in the Alexandria database.

a b c (Å): 3.5277 3.5277 12.2903
angles (deg): 81.75 81.75 60.00
Positions (direct):
Er 0.9154 0.9154 0.2539
Er 0.0846 0.0846 0.7461
Sn 0.0000 0.0000 0.0000
Eu 0.5000 0.5000 0.5000

DOS(E_F) in states/eV/atom: 1.215
Formation energy from the elements in kJ/mol of atoms: 11.4


Asked for electronic total energy across the records above, the calculation gives -5.423 -7.215 -5.733 eV/atom in order.